A plane-wave DFT calculation with PBE-GGA was carried out for TlCl2F8 after structural relaxation.

Cell lengths 10.4396, 7.2491, 5.0312 Å; angles 90.00, 98.46, 90.00 degrees
Last column: nearest neighbours and their distance in Å.
Space group C2/m (No. 12)
One atom of each set of equivalent atoms:
Tl  0.0000  0.0000  0.0000 x2  4 F 2.12
Cl  0.2016  0.5000  0.4625 x4  2 F 1.69-1.81
F  0.1005  0.1974  0.2649 x8  1 Tl 2.12
F  0.1119  0.5000  0.7159 x4  1 Cl 1.69
F  0.2012  0.0000  0.8062 x4  1 Cl 1.81

Results
**Calculated density**: 3.8 g cm⁻³
**E_form (uncorrected)**: -0.82 eV/atom
**Uncorrected energy**: -60.15 eV/cell

---

A plane-wave DFT calculation with PBE-GGA was carried out for TeIrI after structural relaxation.

Cell lengths 6.8163, 3.9568, 7.0571 Å; angles 90.00, 90.92, 90.00 degrees
Last column: nearest neighbours and their distance in Å.
Space group P2_1/m (No. 11)
One atom of each set of equivalent atoms:
Te  0.1940  0.2500  0.0812 x2  3 Ir 2.62-2.63
Ir  0.0026  0.7500  0.2415 x2  3 Te 2.62-2.63, 3 I 2.79-2.80
I  0.2175  0.7500  0.5831 x2  3 Ir 2.79-2.80

Results
**Calculated density**: 7.8 g cm⁻³
**E_form (uncorrected)**: -0.17 eV/atom
**Uncorrected energy**: -28.12 eV/cell

---

A plane-wave DFT calculation with PBE-GGA was carried out for Al3Zn3Ag after structural relaxation.

Cell lengths 7.3549, 7.3549, 4.8591 Å; angles 90.00, 90.00, 120.00 degrees
Last column: nearest neighbours and their distance in Å.
Space group P6_3/m (No. 176)
One atom of each set of equivalent atoms:
Al  0.0498  0.2378  0.2500 x6  6 Al 2.77-2.91, 5 Zn 2.77-2.91, 1 Ag 2.78
Zn  0.0975  0.4761  0.7500 x6  4 Zn 2.76-2.93, 5 Al 2.77-2.91, 3 Ag 2.80-2.91
Ag  0.3333  0.6667  0.2500 x2  3 Al 2.78, 9 Zn 2.80-2.91

Results
**Calculated density**: 5.6 g cm⁻³
**DFT formation energy**: 0.0207 eV per atom
**E above lowest polymorph**: 0.0 kJ per mole of atoms
**Uncorrected energy**: -35.51 eV/cell

---

A plane-wave DFT calculation with PBE-GGA was carried out for NdHo8Th2 after structural relaxation.

Cell lengths 5.9401, 7.5465, 9.2128 Å; angles 111.60, 105.73, 97.26 degrees
Last column: nearest neighbours and their distance in Å.
Space group P-1 (No. 2)
One atom of each set of equivalent atoms:
Nd  0.0000  0.0000  0.0000 x1  4 Ho 3.33-3.36
Ho  0.2096  0.2093  0.4183 x2  2 Th 3.36, 1 Nd 3.36, 6 Ho 3.51-3.71
Ho  0.2219  0.4284  0.0005 x2  3 Ho 2.97-3.23
Ho  0.3420  0.6627  0.7628 x2  4 Ho 3.23-3.52, 2 Th 3.44-3.46
Ho  0.4204  0.1003  0.7630 x2  4 Ho 3.23-3.51, 2 Th 3.44-3.46
Th  0.1928  0.6935  0.3867 x2  8 Ho 3.36-3.46

Results
**Calculated density**: 9.0 g cm⁻³
**DFT formation energy**: 0.2002 eV per atom
**E above lowest polymorph**: 1.7 kJ per mole of atoms
**Uncorrected energy**: -54.03 eV/cell

---

A plane-wave DFT calculation with PBE-GGA was carried out for ZnFeMo2 after structural relaxation.

Cell lengths 3.2301, 4.3108, 8.2925 Å; angles 90.00, 90.00, 90.00 degrees
Last column: nearest neighbours and their distance in Å.
Space group Imm2 (No. 44)
One atom of each set of equivalent atoms:
Zn  0.0000  0.0000  0.0000 x2  2 Fe 2.61, 8 Mo 2.70-2.87
Fe  0.0000  0.5000  0.7466 x2  6 Mo 2.55-2.70, 2 Zn 2.61
Mo  0.0000  0.0000  0.4844 x2  2 Fe 2.55, 2 Mo 2.59, 4 Zn 2.70
Mo  0.0000  0.5000  0.2284 x2  2 Mo 2.59, 4 Fe 2.70, 4 Zn 2.77-2.87

Results
**Calculated density**: 9.0 g cm⁻³
**DFT formation energy**: 0.1828 eV per atom
**Uncorrected energy**: -61.34 eV/cell

---

A plane-wave DFT calculation with PBE-GGA was carried out for TcRh2Br after structural relaxation.

Cell lengths 8.6737, 2.9212, 6.5517 Å; angles 90.00, 96.54, 90.00 degrees
Last column: nearest neighbours and their distance in Å.
Space group Cm (No. 8)
One atom of each set of equivalent atoms:
Tc  0.0000  0.0000  0.0000 x2  5 Rh 2.52-2.60, 2 Br 2.58
Rh  0.2267  0.5000  0.1286 x2  3 Tc 2.52-2.60, 3 Rh 2.67-2.73
Rh  0.4598  0.0000  0.3141 x2  1 Br 2.56, 2 Tc 2.58, 3 Rh 2.67-2.73
Br  0.4020  0.0000  0.6882 x2  1 Rh 2.56, 2 Tc 2.58

Results
**Calculated density**: 7.7 g cm⁻³
**E_form (uncorrected)**: 0.48 eV/atom
**E above lowest polymorph**: 13.9 kJ per mole of atoms
**Uncorrected energy**: -49.62 eV/cell

---

A plane-wave DFT calculation with PBE-GGA was carried out for ZnCd2Ag5Sn after structural relaxation.

Cell lengths 3.0957, 16.7850, 13.5592 Å; angles 90.00, 90.00, 90.00 degrees
Last column: nearest neighbours and their distance in Å.
Space group Cmc2_1 (No. 36)
One atom of each set of equivalent atoms:
Zn  0.0000  0.2250  0.0000 x4  5 Ag 2.85-3.13, 2 Sn 3.05, 2 Zn 3.10, 4 Cd 3.11-3.16
Cd  0.0000  0.3686  0.6616 x4  8 Ag 2.88-3.02, 2 Cd 3.10, 2 Zn 3.11
Cd  0.0000  0.3798  0.3437 x4  8 Ag 2.84-3.04, 2 Cd 3.10, 2 Zn 3.16
Ag  0.0000  0.0310  0.3073 x4  1 Sn 2.88, 6 Ag 2.93-3.10, 4 Cd 3.01-3.02
Ag  0.0000  0.0554  0.0049 x4  1 Zn 2.85, 4 Cd 2.89-2.92, 1 Sn 2.92, 5 Ag 3.01-3.10
Ag  0.0000  0.1977  0.6763 x4  1 Sn 2.86, 3 Cd 2.88-3.04, 6 Ag 2.92-3.10, 2 Zn 3.13
Ag  0.0000  0.2117  0.3205 x4  1 Sn 2.78, 3 Cd 2.84-2.98, 5 Ag 2.92-3.10, 2 Zn 3.07
Ag  0.0000  0.4554  0.1494 x4  2 Cd 2.92-2.96, 8 Ag 2.93-3.10, 2 Sn 2.93
Sn  0.0000  0.1184  0.4899 x4  6 Ag 2.78-2.93, 2 Zn 3.05, 2 Sn 3.10

Results
**Calculated density**: 8.9 g cm⁻³
**DFT formation energy**: 0.0228 eV per atom
**Uncorrected energy**: -84.63 eV/cell

---

A plane-wave DFT calculation with PBE-GGA was carried out for Bi3SbPb6 after structural relaxation.

Cell lengths 10.9090, 4.6575, 13.4691 Å; angles 90.00, 105.16, 90.00 degrees
Last column: nearest neighbours and their distance in Å.
Space group P2_1/m (No. 11)
One atom of each set of equivalent atoms:
Bi  0.0121  0.2500  0.2925 x2  6 Pb 3.31-3.42, 1 Bi 3.43
Bi  0.2120  0.2500  0.1338 x2  6 Pb 3.29-3.51, 3 Bi 3.43-3.57
Bi  0.3304  0.7500  0.3368 x2  6 Pb 3.27-3.47, 2 Bi 3.57
Sb  0.4396  0.2500  0.8847 x2  6 Pb 3.19-3.22
Pb  0.0077  0.2500  0.8974 x2  5 Bi 3.29-3.42, 2 Pb 3.65
Pb  0.1210  0.7500  0.4782 x2  3 Bi 3.33-3.40, 7 Pb 3.56-3.68
Pb  0.1969  0.2500  0.6899 x2  1 Sb 3.20, 2 Bi 3.31, 1 Pb 3.45
Pb  0.2824  0.7500  0.9615 x2  3 Sb 3.19-3.22, 2 Bi 3.51
Pb  0.3754  0.2500  0.5132 x2  3 Bi 3.27-3.32, 3 Pb 3.45-3.56
Pb  0.4700  0.7500  0.7314 x2  2 Sb 3.19, 3 Bi 3.47

Results
**Calculated density**: 10.0 g cm⁻³
**E_form (uncorrected)**: 0.04 eV/atom
**E above lowest polymorph**: 0.0 kJ per mole of atoms
**Uncorrected energy**: -75.16 eV/cell